<one>
{
  "formula": "CsK3Cd",
  "functional": "PBE-GGA",
  "state": "optimized geometry",
  "lattice": [[8.440, 0.000, 0.000], [0.000, 8.440, 0.000], [0.000, 0.000, 8.440]],
  "species": ["Cs", "K", "K", "K", "Cd"],
  "frac_coords": [[0.000, 0.000, 0.000], [0.000, 0.000, 0.500], [0.000, 0.500, 0.000], [0.500, 0.000, 0.000], [0.500, 0.500, 0.500]],
  "dos_ef_per_ev_atom": 1.095,
  "crystal_system": "cubic",
  "sg": "Pm-3m (221)",
  "vol_a3_per_atom": 120.22
}

<two>
{
  "formula": "CsK3Cd",
  "functional": "PBE-GGA",
  "state": "optimized geometry",
  "lattice": [[7.073, 0.000, 0.000], [0.000, 7.073, 0.000], [0.000, 0.000, 7.073]],
  "species": ["Cs", "K", "K", "K", "Cd"],
  "frac_coords": [[0.000, 0.000, 0.000], [0.000, 0.500, 0.500], [0.500, 0.000, 0.500], [0.500, 0.500, 0.000], [0.500, 0.500, 0.500]],
  "dos_ef_per_ev_atom": 0.797,
  "crystal_system": "cubic",
  "sg": "Pm-3m (221)",
  "vol_a3_per_atom": 70.78
}

<three>
{
  "formula": "CsK3Cd",
  "functional": "PBE-GGA",
  "state": "optimized geometry",
  "lattice": [[11.369, -6.599, 0.000], [11.369, 6.599, 0.000], [-1.608, 0.000, 8.646]],
  "species": ["Cs", "Cs", "Cs", "Cs", "K", "K", "K", "K", "K", "K", "K", "K", "K", "K", "K", "K", "Cd", "Cd", "Cd", "Cd"],
  "frac_coords": [[0.058, 0.942, 0.750], [0.364, 0.636, 0.250], [0.636, 0.364, 0.750], [0.942, 0.058, 0.250], [0.002, 0.342, 0.585], [0.003, 0.657, 0.914], [0.329, 0.330, 0.408], [0.330, 0.329, 0.908], [0.342, 0.002, 0.085], [0.343, 0.997, 0.586], [0.657, 0.003, 0.414], [0.658, 0.998, 0.915], [0.670, 0.671, 0.092], [0.671, 0.670, 0.592], [0.997, 0.343, 0.086], [0.998, 0.658, 0.415], [0.272, 0.595, 0.707], [0.405, 0.728, 0.793], [0.595, 0.272, 0.207], [0.728, 0.405, 0.293]],
  "dos_ef_per_ev_atom": 0.780,
  "crystal_system": "monoclinic",
  "sg": "C2/c (15)",
  "vol_a3_per_atom": 64.86
}

<three> is preferred energetically. Next in line: 0.018 eV/atom higher.

<one>
{
  "formula": "CsKNa2Cd",
  "functional": "PBE-GGA",
  "state": "optimized geometry",
  "lattice": [[6.323, 0.000, 0.000], [0.000, 6.323, 0.000], [0.000, 0.000, 7.123]],
  "species": ["Cs", "K", "Na", "Na", "Cd"],
  "frac_coords": [[0.000, 0.000, 0.000], [0.500, 0.500, 0.000], [0.000, 0.500, 0.500], [0.500, 0.000, 0.500], [0.000, 0.000, 0.500]],
  "dos_ef_per_ev_atom": 0.823,
  "crystal_system": "tetragonal",
  "sg": "P4/mmm (123)",
  "vol_a3_per_atom": 56.96
}

<two>
{
  "formula": "CsKNa2Cd",
  "functional": "PBE-GGA",
  "state": "optimized geometry",
  "lattice": [[6.346, 0.000, 0.000], [0.000, 6.346, 0.000], [0.000, 0.000, 6.754]],
  "species": ["Cs", "K", "Na", "Na", "Cd"],
  "frac_coords": [[0.000, 0.000, 0.000], [0.500, 0.500, 0.000], [0.000, 0.500, 0.500], [0.500, 0.000, 0.500], [0.500, 0.500, 0.500]],
  "dos_ef_per_ev_atom": 0.904,
  "crystal_system": "tetragonal",
  "sg": "P4/mmm (123)",
  "vol_a3_per_atom": 54.40
}

<two> is preferred energetically. Next in line: 0.036 eV/atom higher.

<one>
{
  "formula": "CsK2NaCd",
  "functional": "PBE-GGA",
  "state": "optimized geometry",
  "lattice": [[7.069, 0.000, 0.000], [0.000, 7.069, 0.000], [0.000, 0.000, 6.199]],
  "species": ["Cs", "K", "K", "Na", "Cd"],
  "frac_coords": [[0.000, 0.000, 0.000], [0.000, 0.500, 0.500], [0.500, 0.000, 0.500], [0.500, 0.500, 0.500], [0.500, 0.500, 0.000]],
  "dos_ef_per_ev_atom": 0.812,
  "crystal_system": "tetragonal",
  "sg": "P4/mmm (123)",
  "vol_a3_per_atom": 61.96
}

<two>
{
  "formula": "CsK2NaCd",
  "functional": "PBE-GGA",
  "state": "optimized geometry",
  "lattice": [[6.947, 0.000, 0.000], [0.000, 6.947, 0.000], [0.000, 0.000, 6.438]],
  "species": ["Cs", "K", "K", "Na", "Cd"],
  "frac_coords": [[0.000, 0.000, 0.000], [0.000, 0.500, 0.500], [0.500, 0.000, 0.500], [0.500, 0.500, 0.000], [0.500, 0.500, 0.500]],
  "dos_ef_per_ev_atom": 0.926,
  "crystal_system": "tetragonal",
  "sg": "P4/mmm (123)",
  "vol_a3_per_atom": 62.14
}

<two> is preferred energetically. Next in line: 0.069 eV/atom higher.

<one>
{
  "formula": "CsKCdPb",
  "functional": "PBE-GGA",
  "state": "optimized geometry",
  "lattice": [[0.000, 4.218, 4.218], [4.218, 0.000, 4.218], [4.218, 4.218, 0.000]],
  "species": ["Cs", "K", "Cd", "Pb"],
  "frac_coords": [[0.000, 0.000, 0.000], [0.250, 0.250, 0.250], [0.750, 0.750, 0.750], [0.500, 0.500, 0.500]],
  "dos_ef_per_ev_atom": 0.286,
  "crystal_system": "cubic",
  "sg": "F-43m (216)",
  "vol_a3_per_atom": 37.51
}

<two>
{
  "formula": "CsKCdPb",
  "functional": "PBE-GGA",
  "state": "optimized geometry",
  "lattice": [[4.670, -2.692, 0.000], [4.670, 2.692, 0.000], [-3.112, 0.000, 7.540]],
  "species": ["Cs", "K", "Cd", "Pb"],
  "frac_coords": [[0.000, 0.000, 0.000], [0.807, 0.807, 0.421], [0.554, 0.554, 0.662], [0.222, 0.222, 0.665]],
  "dos_ef_per_ev_atom": 0.325,
  "crystal_system": "monoclinic",
  "sg": "Cm (8)",
  "vol_a3_per_atom": 47.40
}

<two> is preferred energetically. Next in line: 0.102 eV/atom higher.

<one>
{
  "formula": "CsK2CdPb",
  "functional": "PBE-GGA",
  "state": "optimized geometry",
  "lattice": [[6.789, 0.000, 0.000], [0.000, 6.789, 0.000], [0.000, 0.000, 5.843]],
  "species": ["Cs", "K", "K", "Cd", "Pb"],
  "frac_coords": [[0.000, 0.000, 0.000], [0.000, 0.500, 0.500], [0.500, 0.000, 0.500], [0.500, 0.500, 0.500], [0.500, 0.500, 0.000]],
  "dos_ef_per_ev_atom": 0.913,
  "crystal_system": "tetragonal",
  "sg": "P4/mmm (123)",
  "vol_a3_per_atom": 53.86
}

<two>
{
  "formula": "CsK2CdPb",
  "functional": "PBE-GGA",
  "state": "optimized geometry",
  "lattice": [[7.021, 0.000, 0.000], [0.000, 7.021, 0.000], [0.000, 0.000, 5.797]],
  "species": ["Cs", "K", "K", "Cd", "Pb"],
  "frac_coords": [[0.000, 0.000, 0.000], [0.000, 0.500, 0.500], [0.500, 0.000, 0.500], [0.500, 0.500, 0.000], [0.500, 0.500, 0.500]],
  "dos_ef_per_ev_atom": 0.532,
  "crystal_system": "tetragonal",
  "sg": "P4/mmm (123)",
  "vol_a3_per_atom": 57.15
}

<two> is preferred energetically. Next in line: 0.019 eV/atom higher.

<one>
{
  "formula": "CsKRb2Cd",
  "functional": "PBE-GGA",
  "state": "optimized geometry",
  "lattice": [[7.387, 0.000, 0.000], [0.000, 7.387, 0.000], [0.000, 0.000, 7.184]],
  "species": ["Cs", "K", "Rb", "Rb", "Cd"],
  "frac_coords": [[0.000, 0.000, 0.000], [0.500, 0.500, 0.000], [0.000, 0.500, 0.500], [0.500, 0.000, 0.500], [0.500, 0.500, 0.500]],
  "dos_ef_per_ev_atom": 0.755,
  "crystal_system": "tetragonal",
  "sg": "P4/mmm (123)",
  "vol_a3_per_atom": 78.39
}

<two>
{
  "formula": "CsKRb2Cd",
  "functional": "PBE-GGA",
  "state": "optimized geometry",
  "lattice": [[7.329, 0.000, 0.000], [0.000, 7.329, 0.000], [0.000, 0.000, 7.560]],
  "species": ["Cs", "K", "Rb", "Rb", "Cd"],
  "frac_coords": [[0.000, 0.000, 0.000], [0.500, 0.500, 0.000], [0.000, 0.500, 0.500], [0.500, 0.000, 0.500], [0.000, 0.000, 0.500]],
  "dos_ef_per_ev_atom": 0.889,
  "crystal_system": "tetragonal",
  "sg": "P4/mmm (123)",
  "vol_a3_per_atom": 81.21
}

<one> is preferred energetically. Next in line: 0.020 eV/atom higher.

<one>
{
  "formula": "Cs2KRbCd",
  "functional": "PBE-GGA",
  "state": "optimized geometry",
  "lattice": [[7.638, 0.000, 0.000], [0.000, 7.638, 0.000], [0.000, 0.000, 7.182]],
  "species": ["Cs", "Cs", "K", "Rb", "Cd"],
  "frac_coords": [[0.000, 0.500, 0.000], [0.500, 0.000, 0.000], [0.000, 0.000, 0.500], [0.500, 0.500, 0.500], [0.000, 0.000, 0.000]],
  "dos_ef_per_ev_atom": 1.036,
  "crystal_system": "tetragonal",
  "sg": "P4/mmm (123)",
  "vol_a3_per_atom": 83.79
}

<two>
{
  "formula": "Cs2KRbCd",
  "functional": "PBE-GGA",
  "state": "optimized geometry",
  "lattice": [[7.617, 0.000, 0.000], [0.000, 7.617, 0.000], [0.000, 0.000, 7.366]],
  "species": ["Cs", "Cs", "K", "Rb", "Cd"],
  "frac_coords": [[0.000, 0.500, 0.000], [0.500, 0.000, 0.000], [0.000, 0.000, 0.500], [0.500, 0.500, 0.500], [0.500, 0.500, 0.000]],
  "dos_ef_per_ev_atom": 1.051,
  "crystal_system": "tetragonal",
  "sg": "P4/mmm (123)",
  "vol_a3_per_atom": 85.48
}

<one> is preferred energetically. Next in line: 0.011 eV/atom higher.

<one>
{
  "formula": "CsK2RbCd",
  "functional": "PBE-GGA",
  "state": "optimized geometry",
  "lattice": [[7.132, 0.000, 0.000], [0.000, 7.132, 0.000], [0.000, 0.000, 7.333]],
  "species": ["Cs", "K", "K", "Rb", "Cd"],
  "frac_coords": [[0.000, 0.000, 0.000], [0.000, 0.500, 0.500], [0.500, 0.000, 0.500], [0.500, 0.500, 0.000], [0.500, 0.500, 0.500]],
  "dos_ef_per_ev_atom": 0.776,
  "crystal_system": "tetragonal",
  "sg": "P4/mmm (123)",
  "vol_a3_per_atom": 74.59
}

<two>
{
  "formula": "CsK2RbCd",
  "functional": "PBE-GGA",
  "state": "optimized geometry",
  "lattice": [[7.116, 0.000, 0.000], [0.000, 7.116, 0.000], [0.000, 0.000, 7.518]],
  "species": ["Cs", "K", "K", "Rb", "Cd"],
  "frac_coords": [[0.000, 0.000, 0.000], [0.000, 0.500, 0.500], [0.500, 0.000, 0.500], [0.500, 0.500, 0.000], [0.000, 0.000, 0.500]],
  "dos_ef_per_ev_atom": 0.860,
  "crystal_system": "tetragonal",
  "sg": "P4/mmm (123)",
  "vol_a3_per_atom": 76.14
}

<one> is preferred energetically. Next in line: 0.010 eV/atom higher.

<one>
{
  "formula": "CsK2CdSb",
  "functional": "PBE-GGA",
  "state": "optimized geometry",
  "lattice": [[6.624, 0.000, 0.000], [0.000, 6.624, 0.000], [0.000, 0.000, 5.847]],
  "species": ["Cs", "K", "K", "Cd", "Sb"],
  "frac_coords": [[0.000, 0.000, 0.000], [0.000, 0.500, 0.500], [0.500, 0.000, 0.500], [0.500, 0.500, 0.500], [0.500, 0.500, 0.000]],
  "dos_ef_per_ev_atom": 0.602,
  "crystal_system": "tetragonal",
  "sg": "P4/mmm (123)",
  "vol_a3_per_atom": 51.32
}

<two>
{
  "formula": "CsK2CdSb",
  "functional": "PBE-GGA",
  "state": "optimized geometry",
  "lattice": [[6.825, 0.000, 0.000], [0.000, 6.825, 0.000], [0.000, 0.000, 5.960]],
  "species": ["Cs", "K", "K", "Cd", "Sb"],
  "frac_coords": [[0.000, 0.000, 0.000], [0.000, 0.500, 0.500], [0.500, 0.000, 0.500], [0.500, 0.500, 0.000], [0.500, 0.500, 0.500]],
  "dos_ef_per_ev_atom": 0.625,
  "crystal_system": "tetragonal",
  "sg": "P4/mmm (123)",
  "vol_a3_per_atom": 55.53
}

<two> is preferred energetically. Next in line: 0.039 eV/atom higher.

<one>
{
  "formula": "CsKCdSn",
  "functional": "PBE-GGA",
  "state": "optimized geometry",
  "lattice": [[0.000, 4.156, 4.156], [4.156, 0.000, 4.156], [4.156, 4.156, 0.000]],
  "species": ["Cs", "K", "Cd", "Sn"],
  "frac_coords": [[0.000, 0.000, 0.000], [0.250, 0.250, 0.250], [0.750, 0.750, 0.750], [0.500, 0.500, 0.500]],
  "dos_ef_per_ev_atom": 0.112,
  "crystal_system": "cubic",
  "sg": "F-43m (216)",
  "vol_a3_per_atom": 35.88
}

<two>
{
  "formula": "CsKCdSn",
  "functional": "PBE-GGA",
  "state": "optimized geometry",
  "lattice": [[2.638, 1.523, 7.229], [-2.638, 1.523, 7.229], [0.000, -3.046, 7.229]],
  "species": ["Cs", "K", "Cd", "Sn"],
  "frac_coords": [[0.000, 0.000, 0.000], [0.800, 0.800, 0.800], [0.218, 0.218, 0.218], [0.552, 0.552, 0.552]],
  "dos_ef_per_ev_atom": 0.235,
  "crystal_system": "trigonal",
  "sg": "R3m (160)",
  "vol_a3_per_atom": 43.60
}

<two> is preferred energetically. Next in line: 0.132 eV/atom higher.

<one>
{
  "formula": "Cs2KTlCd",
  "functional": "PBE-GGA",
  "state": "optimized geometry",
  "lattice": [[7.367, 0.000, 0.000], [0.000, 7.367, 0.000], [0.000, 0.000, 6.906]],
  "species": ["Cs", "Cs", "K", "Tl", "Cd"],
  "frac_coords": [[0.000, 0.500, 0.000], [0.500, 0.000, 0.000], [0.000, 0.000, 0.500], [0.000, 0.000, 0.000], [0.500, 0.500, 0.500]],
  "dos_ef_per_ev_atom": 0.630,
  "crystal_system": "tetragonal",
  "sg": "P4/mmm (123)",
  "vol_a3_per_atom": 74.96
}

<two>
{
  "formula": "Cs2KTlCd",
  "functional": "PBE-GGA",
  "state": "optimized geometry",
  "lattice": [[7.591, 0.000, 0.000], [0.000, 7.591, 0.000], [0.000, 0.000, 5.817]],
  "species": ["Cs", "Cs", "K", "Tl", "Cd"],
  "frac_coords": [[0.000, 0.500, 0.000], [0.500, 0.000, 0.000], [0.000, 0.000, 0.500], [0.500, 0.500, 0.500], [0.500, 0.500, 0.000]],
  "dos_ef_per_ev_atom": 0.872,
  "crystal_system": "tetragonal",
  "sg": "P4/mmm (123)",
  "vol_a3_per_atom": 67.04
}

<two> is preferred energetically. Next in line: 0.084 eV/atom higher.

<one>
{
  "formula": "Cs2KZnCd",
  "functional": "PBE-GGA",
  "state": "optimized geometry",
  "lattice": [[7.731, 0.000, 0.000], [0.000, 7.731, 0.000], [0.000, 0.000, 5.239]],
  "species": ["Cs", "Cs", "K", "Zn", "Cd"],
  "frac_coords": [[0.000, 0.500, 0.000], [0.500, 0.000, 0.000], [0.000, 0.000, 0.500], [0.500, 0.500, 0.500], [0.500, 0.500, 0.000]],
  "dos_ef_per_ev_atom": 0.867,
  "crystal_system": "tetragonal",
  "sg": "P4/mmm (123)",
  "vol_a3_per_atom": 62.63
}

<two>
{
  "formula": "Cs2KZnCd",
  "functional": "PBE-GGA",
  "state": "optimized geometry",
  "lattice": [[7.521, 0.000, 0.000], [0.000, 7.521, 0.000], [0.000, 0.000, 5.275]],
  "species": ["Cs", "Cs", "K", "Zn", "Cd"],
  "frac_coords": [[0.000, 0.500, 0.000], [0.500, 0.000, 0.000], [0.000, 0.000, 0.500], [0.500, 0.500, 0.000], [0.500, 0.500, 0.500]],
  "dos_ef_per_ev_atom": 0.940,
  "crystal_system": "tetragonal",
  "sg": "P4/mmm (123)",
  "vol_a3_per_atom": 59.67
}

<two> is preferred energetically. Next in line: 0.024 eV/atom higher.